No. 1
5
Lattice="4.8998 0.0000 0.0000 0.0000 2.0603 3.9522 0.0000 -2.0603 3.9522" Properties=species:S:1:pos:R:3 comment="SrH2IrPt | Alexandria | PBE | optimized geometry" sg="No. 38" volume_a3_per_atom=16.0 de_polymorph_ev_per_atom=0.001 pbc="T T T"
Sr 0.0000 0.0000 0.0000
H 0.7759 0.0000 5.3632
H 4.1239 0.0000 5.3632
Ir 2.4499 0.0000 5.2245
Pt 2.4499 0.0000 2.7693



No. 2
5
Lattice="2.7514 -2.8366 0.0000 2.7514 2.8366 0.0000 -2.4908 0.0000 4.9760" Properties=species:S:1:pos:R:3 comment="SrH2IrPt | Alexandria | PBE | optimized geometry" sg="No. 5" volume_a3_per_atom=15.5 de_polymorph_ev_per_atom=0.059 pbc="T T T"
Sr 0.0000 0.0000 0.0000
H -0.1480 -0.0854 2.6674
H 3.1600 -0.0854 2.3085
Ir 1.5060 1.3379 2.4880
Pt 1.5060 -1.3289 2.4880



No. 3
5
Lattice="4.0479 0.0000 0.0000 0.0000 3.9455 0.0000 -0.4607 0.0000 4.9914" Properties=species:S:1:pos:R:3 comment="SrH2IrPt | Alexandria | PBE | optimized geometry" sg="No. 3" volume_a3_per_atom=15.9 de_polymorph_ev_per_atom=0.086 pbc="T T T"
Sr 0.0000 0.0000 0.0000
H 1.1818 1.0705 3.2985
H 2.4055 1.0705 1.6929
Ir 1.7936 3.6572 2.4957
Pt -0.2303 1.9838 2.4957



No. 4
5
Lattice="3.9980 -2.2124 0.0000 3.9980 2.2124 0.0000 -0.0611 0.0000 4.3341" Properties=species:S:1:pos:R:3 comment="SrH2IrPt | Alexandria | PBE | optimized geometry" sg="No. 8" volume_a3_per_atom=15.3 de_polymorph_ev_per_atom=0.006 pbc="T T T"
Sr 0.0000 0.0000 0.0000
H 2.6660 0.0000 0.3927
H 3.9409 0.0000 3.1718
Ir 2.6325 0.0000 2.0822
Pt 5.3481 0.0000 2.1260



No. 5
5
Lattice="5.6544 -1.7832 0.0000 5.6544 1.7832 0.0000 -1.2349 0.0000 3.5548" Properties=species:S:1:pos:R:3 comment="SrH2IrPt | Alexandria | PBE | optimized geometry" sg="No. 8" volume_a3_per_atom=14.3 de_polymorph_ev_per_atom=0.139 pbc="T T T"
Sr 0.0000 0.0000 0.0000
H 1.1610 0.0000 2.4544
H 5.5973 0.0000 1.8553
Ir 7.0427 0.0000 2.7243
Pt 2.8592 0.0000 1.1559



No. 6
5
Lattice="4.1470 0.0000 0.0000 -2.0416 3.9630 0.0000 -0.0207 -1.8200 5.1168" Properties=species:S:1:pos:R:3 comment="SrH2IrPt | Alexandria | PBE | optimized geometry" sg="No. 1" volume_a3_per_atom=16.8 de_polymorph_ev_per_atom=0.020 pbc="T T T"
Sr 0.0000 0.0000 0.0000
H 0.0292 3.2985 1.2049
H 2.0632 -0.4092 4.5825
Ir 2.0686 -0.4957 2.8783
Pt -0.0141 0.9963 2.9022



No. 7
5
Lattice="4.3641 0.0000 0.0000 0.0261 4.4116 0.0000 0.0084 2.0784 3.9833" Properties=species:S:1:pos:R:3 comment="SrH2IrPt | Alexandria | PBE | optimized geometry" sg="No. 1" volume_a3_per_atom=15.3 de_polymorph_ev_per_atom=0.000 pbc="T T T"
Sr 0.0000 0.0000 0.0000
H 0.4273 4.2519 2.6274
H 2.2252 3.2160 0.0233
Ir 2.1458 4.2410 2.6482
Pt 2.1996 2.0270 1.3556



No. 8
5
Lattice="-1.8769 1.8769 5.2550 1.8769 -1.8769 5.2550 1.8769 1.8769 -5.2550" Properties=species:S:1:pos:R:3 comment="SrH2IrPt | Alexandria | PBE | optimized geometry" sg="No. 107" volume_a3_per_atom=14.8 de_polymorph_ev_per_atom=0.139 pbc="T T T"
Sr 0.0000 0.0000 0.0000
H 1.8769 0.0000 3.1533
H 0.0000 1.8769 3.1533
Ir 0.0000 0.0000 2.9285
Pt 0.0000 0.0000 7.4849



No. 9
5
Lattice="2.2975 -3.8065 0.0000 2.2975 3.8065 0.0000 -0.3531 0.0000 4.5619" Properties=species:S:1:pos:R:3 comment="SrH2IrPt | Alexandria | PBE | optimized geometry" sg="No. 5" volume_a3_per_atom=16.0 de_polymorph_ev_per_atom=0.061 pbc="T T T"
Sr 0.0000 0.0000 0.0000
H 1.0308 1.7531 3.4888
H 3.2110 1.7531 1.0731
Ir 2.1209 1.2535 2.2810
Pt 2.1209 -1.2816 2.2810



No. 10
5
Lattice="-1.6471 1.9692 5.3672 1.6471 -1.9692 5.3672 1.6471 1.9692 -5.3672" Properties=species:S:1:pos:R:3 comment="SrH2IrPt | Alexandria | PBE | optimized geometry" sg="No. 44" volume_a3_per_atom=13.9 de_polymorph_ev_per_atom=0.170 pbc="T T T"
Sr 0.0000 0.0000 0.0000
H 0.0000 0.0000 4.9929
H 0.0000 1.9692 1.6421
Ir 0.0000 0.0000 7.6741
Pt 0.0000 0.0000 3.3006



No. 11
5
Lattice="2.5824 -3.2939 0.0000 2.5824 3.2939 0.0000 -1.2585 0.0000 4.7601" Properties=species:S:1:pos:R:3 comment="SrH2IrPt | Alexandria | PBE | optimized geometry" sg="No. 5" volume_a3_per_atom=16.2 de_polymorph_ev_per_atom=0.097 pbc="T T T"
Sr 0.0000 0.0000 0.0000
H 0.2906 -0.5361 2.6632
H 3.6158 -0.5361 2.0969
Ir 1.9532 1.3298 2.3801
Pt 1.9532 -1.2657 2.3801



No. 12
5
Lattice="4.0505 0.0000 0.0000 0.0000 4.0505 0.0000 0.0000 0.0000 4.0832" Properties=species:S:1:pos:R:3 comment="Ta2HIrPt | Alexandria | PBE | optimized geometry" sg="No. 123" volume_a3_per_atom=13.4 de_polymorph_ev_per_atom=0.034 pbc="T T T"
Ta 0.0000 2.0253 0.0000
Ta 2.0253 0.0000 0.0000
H 0.0000 0.0000 0.0000
Ir 2.0253 2.0253 2.0416
Pt 0.0000 0.0000 2.0416



No. 13
5
Lattice="4.0584 0.0000 0.0000 0.0000 4.0584 0.0000 0.0000 0.0000 4.0583" Properties=species:S:1:pos:R:3 comment="Ta2HIrPt | Alexandria | PBE | optimized geometry" sg="No. 123" volume_a3_per_atom=13.4 de_polymorph_ev_per_atom=0.000 pbc="T T T"
Ta 0.0000 2.0292 0.0000
Ta 2.0292 0.0000 0.0000
H 0.0000 0.0000 0.0000
Ir 0.0000 0.0000 2.0292
Pt 2.0292 2.0292 2.0292



No. 14
12
Lattice="4.6089 -2.0250 0.0000 4.6089 2.0250 0.0000 -2.2113 0.0000 5.6852" Properties=species:S:1:pos:R:3 comment="TbH8Ir2Pt | Alexandria | PBE | optimized geometry" energy_ev_per_atom=-4.7424 sg="No. 12" volume_a3_per_atom=8.8 pbc="T T T"
Tb 0.0000 0.0000 0.0000
H 2.8558 1.0071 1.4681
H 1.0571 0.0000 2.0416
H 1.1878 0.0000 5.4266
H 4.1507 1.0071 4.2171
H 2.8558 -1.0071 1.4681
H 5.8187 0.0000 0.2586
H 5.9493 0.0000 3.6436
H 4.1507 -1.0071 4.2171
Ir 0.8268 0.0000 3.8234
Ir 6.1797 0.0000 1.8619
Pt 3.5032 0.0000 2.8426



No. 15
12
Lattice="4.4591 0.0000 0.0000 0.9082 4.4774 0.0000 0.9575 0.6236 5.9427" Properties=species:S:1:pos:R:3 comment="TbH8IrPt2 | Alexandria | PBE | optimized geometry" energy_ev_per_atom=-4.5803 sg="No. 2" volume_a3_per_atom=9.9 pbc="T T T"
Tb 0.0000 0.0000 0.0000
H 1.8751 3.5210 1.9197
H 1.6899 1.5188 2.8640
H 2.6144 2.6777 5.5559
H 2.7103 4.1697 3.8739
H 3.6145 0.9314 2.0687
H 3.7103 2.4233 0.3867
H 4.6349 3.5823 3.0786
H 4.4497 1.5801 4.0230
Ir 0.4787 0.3118 2.9713
Pt 2.2304 1.7470 1.2062
Pt 4.0943 3.3540 4.7364



No. 16
8
Lattice="2.9168 -4.1935 0.0000 2.9168 4.1935 0.0000 -2.8481 0.0000 3.5311" Properties=species:S:1:pos:R:3 comment="TbH4IrPt2 | Alexandria | PBE | optimized geometry" energy_ev_per_atom=-5.1938 sg="No. 5" volume_a3_per_atom=10.8 pbc="T T T"
Tb 0.0000 0.0000 0.0000
H 0.0698 1.0534 2.1702
H -1.2292 -1.8856 3.4925
H 2.9157 1.0534 1.3609
H 4.2147 -1.8856 0.0386
Ir 1.4927 2.0813 1.7655
Pt 2.9168 -0.1614 0.0000
Pt 1.4927 -1.9947 1.7655



No. 17
12
Lattice="4.5864 -2.0967 0.0000 4.5864 2.0967 0.0000 -2.0764 0.0000 5.6124" Properties=species:S:1:pos:R:3 comment="ThH8Ir2Pt | Alexandria | PBE | optimized geometry" energy_ev_per_atom=-4.9841 sg="No. 12" volume_a3_per_atom=9.0 pbc="T T T"
Th 0.0000 0.0000 0.0000
H 2.8857 1.0151 1.4709
H 1.0757 0.0000 2.0801
H 1.2190 0.0000 5.4294
H 4.2108 1.0151 4.1415
H 2.8857 -1.0151 1.4709
H 5.8775 0.0000 0.1830
H 6.0208 0.0000 3.5323
H 4.2108 -1.0151 4.1415
Ir 0.9010 0.0000 3.7987
Ir 6.1955 0.0000 1.8136
Pt 3.5482 0.0000 2.8062



No. 18
5
Lattice="3.9311 0.0000 0.0000 0.0000 3.9311 0.0000 0.0000 0.0000 3.9782" Properties=species:S:1:pos:R:3 comment="TiHIr2Pt | Alexandria | PBE | optimized geometry" sg="No. 123" volume_a3_per_atom=12.3 de_polymorph_ev_per_atom=0.000 pbc="T T T"
Ti 0.0000 0.0000 0.0000
H 0.0000 0.0000 1.9891
Ir 0.0000 1.9656 1.9891
Ir 1.9656 0.0000 1.9891
Pt 1.9656 1.9656 0.0000



No. 19
5
Lattice="3.9768 0.0000 0.0000 0.0000 3.9768 0.0000 0.0000 0.0000 3.9236" Properties=species:S:1:pos:R:3 comment="TiHIr2Pt | Alexandria | PBE | optimized geometry" sg="No. 123" volume_a3_per_atom=12.4 de_polymorph_ev_per_atom=0.045 pbc="T T T"
Ti 0.0000 0.0000 0.0000
H 1.9884 1.9884 1.9618
Ir 0.0000 1.9884 1.9618
Ir 1.9884 0.0000 1.9618
Pt 1.9884 1.9884 0.0000



No. 20
5
Lattice="3.9090 0.0000 0.0000 0.0000 3.9090 0.0000 0.0000 0.0000 4.1351" Properties=species:S:1:pos:R:3 comment="TiHIrPt2 | Alexandria | PBE | optimized geometry" energy_ev_per_atom=-6.8760 sg="No. 123" volume_a3_per_atom=12.6 pbc="T T T"
Ti 0.0000 0.0000 0.0000
H 0.0000 0.0000 2.0676
Ir 1.9545 1.9545 0.0000
Pt 0.0000 1.9545 2.0676
Pt 1.9545 0.0000 2.0676